Density functional theory data (PBE-GGA) for a geometry-optimized OsAu structure.

Cell lengths 6.926, 6.926, 3.687 Å; angles 90.00, 90.00, 156.96 degrees
Fractional positions:
Os1 0.209 0.791 0.750
Os2 0.791 0.209 0.250
Au1 0.424 0.576 0.750
Au2 0.576 0.424 0.250

## Properties
Density (g/cm3): 18.6
DFT formation energy (meV per atom): 487
ΔE to the lowest computed polymorph (meV per atom): 204
Total moment (μB per formula unit): 0.00

***

Density functional theory data (PBE-GGA) for a geometry-optimized RbAsS2N structure.

Cell lengths 5.046, 5.046, 4.095 Å; angles 90.00, 90.00, 90.00 degrees
Fractional positions:
Rb1 0.000 0.000 0.000
As1 0.500 0.500 0.500
S1 0.000 0.500 0.500
S2 0.500 0.000 0.500
N1 0.500 0.500 0.000

## Properties
Density (g/cm3): 3.8
ΔE_f (raw) (eV per atom): 0.454
ΔE to the lowest computed polymorph (meV per atom): 0
Total moment (μB per formula unit): 1.83

***

Density functional theory data (PBE-GGA) for a geometry-optimized Th2Mg2Sc15 structure.

Cell lengths 8.006, 8.006, 8.006 Å; angles 80.94, 80.94, 80.94 degrees
Fractional positions:
Th1 0.171 0.171 0.171
Th2 0.829 0.829 0.829
Mg1 0.405 0.405 0.405
Mg2 0.595 0.595 0.595
Sc1 0.000 0.500 0.500
Sc2 0.135 0.135 0.651
Sc3 0.135 0.651 0.135
Sc4 0.203 0.500 0.797
Sc5 0.203 0.797 0.500
Sc6 0.349 0.865 0.865
Sc7 0.500 0.000 0.500
Sc8 0.500 0.203 0.797
Sc9 0.500 0.500 0.000
Sc10 0.500 0.797 0.203
Sc11 0.651 0.135 0.135
Sc12 0.797 0.203 0.500
Sc13 0.797 0.500 0.203
Sc14 0.865 0.349 0.865
Sc15 0.865 0.865 0.349

## Properties
Density (g/cm3): 4.0
DFT formation energy (meV per atom): 208
Total moment (μB per formula unit): 0.00

***

Density functional theory data (PBE-GGA) for a geometry-optimized KCrMo2 structure.

Cell lengths 5.857, 5.857, 2.705 Å; angles 95.98, 95.98, 124.80 degrees
Fractional positions:
K1 0.000 0.000 0.000
Cr1 0.500 0.500 0.000
Mo1 0.000 0.500 0.500
Mo2 0.500 0.000 0.500

## Properties
Density (g/cm3): 6.3
DFT formation energy (meV per atom): 1423
ΔE to the lowest computed polymorph (meV per atom): 615
Total moment (μB per formula unit): 3.13

***

Density functional theory data (PBE-GGA) for a geometry-optimized Y2TcSn structure.

Cell lengths 6.547, 6.547, 6.547 Å; angles 101.67, 101.67, 126.55 degrees
Fractional positions:
Y1 0.061 0.625 0.936
Y2 0.375 0.311 0.436
Y3 0.689 0.125 0.064
Y4 0.875 0.939 0.564
Tc1 0.000 0.000 0.000
Tc2 0.750 0.250 0.500
Sn1 0.250 0.750 0.500
Sn2 0.500 0.500 0.000

## Properties
Density (g/cm3): 6.5
DFT formation energy (meV per atom): 124
Total moment (μB per formula unit): 0.00

***

Density functional theory data (PBE-GGA) for a geometry-optimized Tb3Nd8Tm structure.

Cell lengths 6.986, 6.986, 9.863 Å; angles 97.12, 97.12, 119.13 degrees
Fractional positions:
Tb1 0.000 0.000 0.000
Tb2 0.000 0.500 0.500
Tb3 0.500 0.000 0.500
Nd1 0.181 0.181 0.670
Nd2 0.183 0.675 0.166
Nd3 0.317 0.317 0.338
Nd4 0.325 0.817 0.834
Nd5 0.675 0.183 0.166
Nd6 0.683 0.683 0.662
Nd7 0.817 0.325 0.834
Nd8 0.819 0.819 0.330
Tm1 0.500 0.500 0.000

## Properties
Density (g/cm3): 7.3
DFT formation energy (meV per atom): 112
Total moment (μB per formula unit): 0.00

***

Density functional theory data (PBE-GGA) for a geometry-optimized CsBe3B structure.

Cell lengths 6.705, 6.705, 6.705 Å; angles 90.00, 90.00, 90.00 degrees
Fractional positions:
Cs1 0.000 0.000 0.000
Be1 0.000 0.000 0.500
Be2 0.000 0.500 0.000
Be3 0.500 0.000 0.000
B1 0.500 0.500 0.500

## Properties
Density (g/cm3): 0.9
DFT formation energy (meV per atom): 3252
ΔE to the lowest computed polymorph (meV per atom): 2141
Total moment (μB per formula unit): 1.94

***

Density functional theory data (PBE-GGA) for a geometry-optimized LiVTeRu2 structure.

Cell lengths 4.199, 4.199, 4.329 Å; angles 90.00, 90.00, 90.00 degrees
Fractional positions:
Li1 0.000 0.000 0.000
V1 0.500 0.500 0.500
Te1 0.000 0.000 0.500
Ru1 0.000 0.500 0.000
Ru2 0.500 0.000 0.000

## Properties
Density (g/cm3): 8.4
ΔE_f (raw) (eV per atom): 1.014
Total moment (μB per formula unit): 0.00